No. 1
LiOsPb2 PBE relaxed; symmetry = Cmm2 (35); N(E_F) = 3.6 states/eV per cell; energy above the lowest structure with this stoichiometry = 268.1 meV per atom; ΔE_f = 60.0 kJ per mole of atoms; crystal system = orthorhombic; final energy = -4.52 eV per atom
1.0
-1.1559 -0.6138 -2.7722
3.0634 -0.1049 -0.0485
-0.3084 -10.1042 2.3657
Li Pb Os
1 2 1
direct
0.0000 0.0000 0.5400
0.0000 0.0000 0.9384
0.5000 0.5000 0.2958
0.5000 0.5000 0.7258


No. 2
LiOsPb2 PBE relaxed; symmetry = F-43m (216); N(E_F) = 4.2 states/eV per cell; energy above the lowest structure with this stoichiometry = 402.8 meV per atom; ΔE_f = 73.0 kJ per mole of atoms; crystal system = cubic; final energy = -4.38 eV per atom
1.0
4.9466 0.0000 0.0000
2.4733 4.2839 0.0000
2.4733 1.4280 4.0389
Li Os Pb
1 1 2
direct
0.5000 0.5000 0.5000
0.7500 0.7500 0.7500
0.0000 0.0000 0.0000
0.2500 0.2500 0.2500


The records above give, respectively, calculated volume values of 22.80, 21.40 A^3/atom.